[1]
Below is crystalline Ac2CoBi at its relaxed geometry, with properties calculated at the PBE-GGA level.

abc: 9.9165 9.9165 9.9165
angles: 26.46 26.46 26.46
Fractional coordinates of all 4 atoms:
Ac 0.0930 0.0930 0.0930
Ac 0.9070 0.9070 0.9070
Co 0.0000 0.0000 0.0000
Bi 0.5000 0.5000 0.5000

Computed properties:
- Energy of formation: 446 meV per atom
- Space-group type: R-3m



[2]
Below is crystalline Ac4CoBi at its relaxed geometry, with properties calculated at the PBE-GGA level.

abc: 6.4578 11.9880 6.5016
angles: 90.00 104.10 90.00
Fractional coordinates of all 12 atoms:
Ac 0.1398 0.2500 0.2421
Ac 0.2504 0.7500 0.3664
Ac 0.2645 0.0316 0.7518
Ac 0.2645 0.4684 0.7518
Ac 0.7355 0.5316 0.2482
Ac 0.7355 0.9684 0.2482
Ac 0.7496 0.2500 0.6336
Ac 0.8602 0.7500 0.7579
Co 0.2294 0.2500 0.7178
Co 0.7706 0.7500 0.2822
Bi 0.4148 0.7500 0.9225
Bi 0.5852 0.2500 0.0775

Computed properties:
- Energy of formation: -135 meV per atom
- Space-group type: P2_1/m



[3]
Below is crystalline Ac3Co3Bi at its relaxed geometry, with properties calculated at the PBE-GGA level.

abc: 10.1357 10.1357 4.3720
angles: 90.00 90.00 120.00
Fractional coordinates of all 14 atoms:
Ac 0.0641 0.6894 0.2500
Ac 0.3106 0.3747 0.2500
Ac 0.3747 0.0641 0.7500
Ac 0.6253 0.9359 0.2500
Ac 0.6894 0.6253 0.7500
Ac 0.9359 0.3106 0.7500
Co 0.0129 0.8747 0.7500
Co 0.1253 0.1382 0.7500
Co 0.1382 0.0129 0.2500
Co 0.8618 0.9871 0.7500
Co 0.8747 0.8618 0.2500
Co 0.9871 0.1253 0.2500
Bi 0.3333 0.6667 0.7500
Bi 0.6667 0.3333 0.2500

Computed properties:
- Energy of formation: -226 meV per atom
- Space-group type: P6_3/m